# 1
Computed, not measured: a relaxed BPdC3 crystal at the PBE-GGA level of DFT.

a = 4.0054 Å, b = 4.0054 Å, c = 4.0054 Å
α = 90.00°, β = 90.00°, γ = 90.00°
Positions (direct):
B  0.5000  0.5000  0.5000
C  0.5000  0.0000  0.0000
C  0.0000  0.5000  0.0000
C  0.0000  0.0000  0.5000
Pd  0.0000  0.0000  0.0000

* total moment: 0.0000 μB/atom
* energy above the most stable polymorph in this dataset: 1207 meV per atom
* symmetry: Pm-3m
* uncorrected energy: -22.094 eV/cell
* energy relative to the elements: 3.490 eV/atom

***

# 2
Computed, not measured: a relaxed BPd2C crystal at the PBE-GGA level of DFT.

a = 4.7779 Å, b = 4.7779 Å, c = 5.8188 Å
α = 65.76°, β = 65.76°, γ = 90.00°
Positions (direct):
B  0.5000  0.5000  0.0000
B  0.2500  0.7500  0.5000
Pd  0.6339  0.1250  0.2500
Pd  0.1161  0.6250  0.2500
Pd  0.3750  0.3661  0.7500
Pd  0.8750  0.8839  0.7500
C  0.0000  0.0000  0.0000
C  0.7500  0.2500  0.5000

* total moment: 0.0000 μB/atom
* energy above the most stable polymorph in this dataset: 0 meV per atom
* symmetry: I-42d
* uncorrected energy: -46.093 eV/cell
* energy relative to the elements: 0.810 eV/atom

***

# 3
Computed, not measured: a relaxed BPd2C crystal at the PBE-GGA level of DFT.

a = 3.9411 Å, b = 3.9411 Å, c = 3.9411 Å
α = 60.00°, β = 60.00°, γ = 60.00°
Positions (direct):
Pd  0.7500  0.7500  0.7500
Pd  0.2500  0.2500  0.2500
B  0.0000  0.0000  0.0000
C  0.5000  0.5000  0.5000

* total moment: 0.0000 μB/atom
* energy above the most stable polymorph in this dataset: 428 meV per atom
* symmetry: Fm-3m
* uncorrected energy: -21.334 eV/cell
* energy relative to the elements: 1.238 eV/atom

***

# 4
Computed, not measured: a relaxed BPd3C crystal at the PBE-GGA level of DFT.

a = 4.0741 Å, b = 4.0741 Å, c = 4.0741 Å
α = 90.00°, β = 90.00°, γ = 90.00°
Positions (direct):
Pd  0.0000  0.5000  0.0000
Pd  0.5000  0.0000  0.0000
Pd  0.0000  0.0000  0.5000
C  0.0000  0.0000  0.0000
B  0.5000  0.5000  0.5000

* total moment: 0.0000 μB/atom
* energy above the most stable polymorph in this dataset: 0 meV per atom
* symmetry: Pm-3m
* uncorrected energy: -26.657 eV/cell
* energy relative to the elements: 0.965 eV/atom

***

# 5
Computed, not measured: a relaxed B3PdC crystal at the PBE-GGA level of DFT.

a = 3.4986 Å, b = 3.4986 Å, c = 3.4986 Å
α = 90.00°, β = 90.00°, γ = 90.00°
Positions (direct):
Pd  0.5000  0.5000  0.5000
B  0.0000  0.0000  0.5000
B  0.5000  0.0000  0.0000
B  0.0000  0.5000  0.0000
C  0.0000  0.0000  0.0000

* total moment: 0.0000 μB/atom
* energy above the most stable polymorph in this dataset: 0 meV per atom
* symmetry: Pm-3m
* uncorrected energy: -26.565 eV/cell
* energy relative to the elements: 1.577 eV/atom

***

# 6
Computed, not measured: a relaxed B3PdC crystal at the PBE-GGA level of DFT.

a = 4.0551 Å, b = 4.0551 Å, c = 4.0551 Å
α = 90.00°, β = 90.00°, γ = 90.00°
Site moments in Bohr magnetons follow the coordinates.
Positions (direct):
B  0.0000  0.0000  0.5000  0.06
B  0.0000  0.5000  0.0000  0.07
B  0.5000  0.0000  0.0000  0.08
Pd  0.0000  0.0000  0.0000  0.09
C  0.5000  0.5000  0.5000  0.78

* total moment: 0.3985 μB/atom
* energy above the most stable polymorph in this dataset: 960 meV per atom
* symmetry: Pm-3m
* uncorrected energy: -21.764 eV/cell
* energy relative to the elements: 2.537 eV/atom

***

What is the energy relative to the elements in the sixth record? 2.537 eV/atom

***

Which of these has the highest total moment? number 6

***

Number 5 is which compound? B3PdC

***

Which of these has the highest uncorrected energy? number 3